1.
{
  "formula": "InGaMoAs2",
  "functional": "PBE",
  "state": "relaxed",
  "cell": [[4.957, 0.000, 0.000], [0.000, 5.067, 0.000], [0.000, 0.000, 4.957]],
  "species": ["Mo", "As", "As", "Ga", "In"],
  "frac_coords": [[0.500, 0.500, 0.500], [0.000, 0.000, 0.500], [0.500, 0.000, 0.000], [0.000, 0.000, 0.000], [0.000, 0.500, 0.000]],
  "crystal_system": "tetragonal",
  "space_group": "P4/mmm, No. 123",
  "total_energy_ha_per_atom": -0.149,
  "ef_ev_per_atom": 1.130,
  "magmom_total_mub_per_cell": 3.8,
  "n_ef_per_ev_cell": 2.98
}


2.
{
  "formula": "SrAgSeBr",
  "functional": "PBE",
  "state": "relaxed",
  "cell": [[-4.296, 1.382, -0.122], [-3.347, -3.030, -0.014], [-2.857, -0.271, 13.964]],
  "species": ["Sr", "Sr", "Ag", "Ag", "Se", "Se", "Br", "Br"],
  "frac_coords": [[0.586, 0.586, 0.241], [0.414, 0.414, 0.759], [0.812, 0.812, 0.565], [0.188, 0.188, 0.435], [0.122, 0.122, 0.634], [0.878, 0.878, 0.366], [0.709, 0.709, 0.874], [0.291, 0.291, 0.126]],
  "crystal_system": "trigonal",
  "space_group": "R-3m, No. 166",
  "total_energy_ha_per_atom": -0.138,
  "magmom_total_mub_per_cell": 0.0,
  "e_form_raw_mev_per_atom": -1335
}


3.
{
  "formula": "PmNi3Ge4",
  "functional": "PBE",
  "state": "relaxed",
  "cell": [[-1.671, 2.182, 2.995], [-4.021, -0.105, 0.591], [-0.796, -6.903, 7.344]],
  "species": ["Ni", "Ni", "Ni", "Ge", "Ge", "Ge", "Ge", "Pm"],
  "frac_coords": [[0.228, 0.228, 0.315], [0.772, 0.772, 0.685], [0.000, 0.000, 0.000], [0.091, 0.091, 0.726], [0.909, 0.909, 0.274], [0.307, 0.307, 0.078], [0.693, 0.693, 0.922], [0.500, 0.500, 0.500]],
  "crystal_system": "trigonal",
  "space_group": "R-3m, No. 166",
  "total_energy_ha_per_atom": -0.197,
  "ef_ev_per_atom": -0.292,
  "magmom_total_mub_per_cell": 0.0,
  "n_ef_per_ev_cell": 5.65
}


4.
{
  "formula": "TbScNiPd",
  "functional": "PBE",
  "state": "relaxed",
  "cell": [[4.764, 0.000, 0.000], [2.382, 4.126, 0.000], [2.382, 1.375, 3.890]],
  "species": ["Sc", "Ni", "Tb", "Pd"],
  "frac_coords": [[0.000, 0.000, 0.000], [0.250, 0.250, 0.250], [0.500, 0.500, 0.500], [0.750, 0.750, 0.750]],
  "crystal_system": "cubic",
  "space_group": "F-43m, No. 216",
  "total_energy_ha_per_atom": -0.224,
  "ef_ev_per_atom": -0.610,
  "magmom_total_mub_per_cell": 0.0,
  "n_ef_per_ev_cell": 4.40
}


5.
{
  "formula": "TlZnRu2",
  "functional": "PBE",
  "state": "relaxed",
  "cell": [[3.188, 0.000, 0.000], [0.000, 3.188, 0.000], [0.000, 0.000, 6.301]],
  "species": ["Ru", "Ru", "Tl", "Zn"],
  "frac_coords": [[0.000, 0.000, 0.968], [0.000, 0.000, 0.532], [0.500, 0.500, 0.250], [0.500, 0.500, 0.750]],
  "crystal_system": "tetragonal",
  "space_group": "P4/mmm, No. 123",
  "total_energy_ha_per_atom": -0.189,
  "ef_ev_per_atom": 0.403,
  "magmom_total_mub_per_cell": 1.3,
  "n_ef_per_ev_cell": 4.55,
  "relative_energy_kj_per_mol_atoms": 14.8
}


6.
{
  "formula": "Nd8Sm2Tl",
  "functional": "PBE",
  "state": "relaxed",
  "cell": [[5.403, 0.000, -1.641], [-0.949, 7.027, -3.125], [0.096, 0.202, 10.032]],
  "species": ["Nd", "Nd", "Nd", "Nd", "Nd", "Nd", "Nd", "Nd", "Sm", "Sm", "Tl"],
  "frac_coords": [[0.637, 0.864, 0.274], [0.363, 0.590, 0.726], [0.178, 0.178, 0.356], [0.000, 0.259, 0.000], [0.822, 0.822, 0.644], [0.637, 0.410, 0.274], [0.363, 0.136, 0.726], [0.000, 0.741, 0.000], [0.192, 0.692, 0.384], [0.808, 0.308, 0.616], [0.500, 0.000, 0.000]],
  "crystal_system": "orthorhombic",
  "space_group": "Immm, No. 71",
  "total_energy_ha_per_atom": -0.166,
  "ef_ev_per_atom": 0.022,
  "magmom_total_mub_per_cell": 0.0,
  "n_ef_per_ev_cell": 17.23,
  "relative_energy_kj_per_mol_atoms": 6.2
}


Q: Which formula does entry 3 have?
A: PmNi3Ge4